Entry 1:
VASP calculation (PBE) on crystalline LiCd2O2 at its relaxed geometry.

Formation energy without anion corrections = -0.7532 eV per atom
Distance to the lowest polymorph of the same formula = 0.263 eV per atom

Geometry as POSCAR:
```
LiCd2O2
1.0
6.350 0.000 0.000
0.000 6.350 0.000
0.000 0.000 3.378
Cd O Li
4 4 2
Direct
0.654 0.846 0.500
0.846 0.346 0.500
0.346 0.154 0.500
0.154 0.654 0.500
0.328 0.828 0.000
0.828 0.672 0.000
0.672 0.172 0.000
0.172 0.328 0.000
0.000 0.000 0.000
0.500 0.500 0.000
```

Entry 2:
VASP calculation (PBE) on crystalline ErFe3C at its relaxed geometry.

Formation energy = 31 meV per atom

Geometry as POSCAR:
```
ErFe3C
1.0
5.572 0.000 0.000
-2.786 4.825 0.000
0.000 0.000 9.298
Fe C Er
12 4 4
Direct
0.500 0.000 0.500
0.500 0.000 0.000
0.500 0.500 0.500
0.361 0.181 0.250
0.000 0.500 0.500
0.181 0.361 0.750
0.819 0.639 0.250
0.819 0.181 0.250
0.500 0.500 0.000
0.000 0.500 0.000
0.181 0.819 0.750
0.639 0.819 0.750
0.667 0.333 0.115
0.333 0.667 0.885
0.667 0.333 0.385
0.333 0.667 0.615
0.000 0.000 0.500
0.333 0.667 0.250
0.667 0.333 0.750
0.000 0.000 0.000
```

Entry 3:
VASP calculation (PBE) on crystalline SrIn2Ru at its relaxed geometry.

Formation energy = -91 meV per atom

Geometry as POSCAR:
```
SrIn2Ru
1.0
6.246 -0.972 -0.579
5.246 3.527 -0.579
5.246 1.166 3.378
Sr Ru In
1 1 2
Direct
0.750 0.750 0.750
0.250 0.250 0.250
0.960 0.960 0.960
0.540 0.540 0.540
```

| no. | total magnetization (μB/cell) |
| --- | --- |
| 1 | 0.0 |
| 2 | 12.1 |
| 3 | 0.0 |